[1]
This record from the Alexandria database describes crystalline SrScAl at its relaxed geometry. The functional is PBE-GGA.

Unit cell a=4.8264 b=4.8264 c=10.0171 alpha=90.00 beta=90.00 gamma=120.00
Element x y z (fractional)
1 Sr 0.3333 0.6667 0.3201
2 Sr 0.6667 0.3333 0.6799
3 Sc 0.3333 0.6667 0.9370
4 Sc 0.6667 0.3333 0.0630
5 Al 0.0000 0.0000 0.1320
6 Al 0.0000 0.0000 0.8680

Properties
Formation enthalpy at 0 K (eV/atom): -0.102
Distance to the lowest polymorph of the same formula (eV per atom): 0.071
D(E_F) (states/eV per cell): 5.2
Symmetry: P-3m1


[2]
This record from the Alexandria database describes crystalline SrScAl at its relaxed geometry. The functional is PBE-GGA.

Unit cell a=4.9158 b=4.9158 c=7.9314 alpha=90.00 beta=90.00 gamma=90.00
Element x y z (fractional)
1 Sr 0.2500 0.2500 0.1799
2 Sr 0.7500 0.7500 0.8201
3 Sc 0.2500 0.2500 0.6686
4 Sc 0.7500 0.7500 0.3314
5 Al 0.2500 0.7500 0.5000
6 Al 0.7500 0.2500 0.5000

Properties
Formation enthalpy at 0 K (eV/atom): 0.007
Distance to the lowest polymorph of the same formula (eV per atom): 0.179
D(E_F) (states/eV per cell): 7.4
Symmetry: P4/nmm


[3]
This record from the Alexandria database describes crystalline SrScAl at its relaxed geometry. The functional is PBE-GGA.

Unit cell a=3.5951 b=3.5951 c=13.2356 alpha=90.00 beta=90.00 gamma=90.00
Element x y z (fractional)
1 Sr 0.0000 0.0000 0.0000
2 Sr 0.5000 0.5000 0.2680
3 Sc 0.0000 0.0000 0.4814
4 Sc 0.0000 0.0000 0.7209
5 Al 0.5000 0.5000 0.6013
6 Al 0.5000 0.5000 0.8314

Properties
Formation enthalpy at 0 K (eV/atom): -0.145
Distance to the lowest polymorph of the same formula (eV per atom): 0.028
D(E_F) (states/eV per cell): 9.2
Symmetry: P4mm


[4]
This record from the Alexandria database describes crystalline Sr3ScAl at its relaxed geometry. The functional is PBE-GGA.

Unit cell a=6.2148 b=6.2148 c=6.2148 alpha=90.00 beta=90.00 gamma=90.00
Element x y z (fractional)
1 Sr 0.0000 0.0000 0.5000
2 Sr 0.0000 0.5000 0.0000
3 Sr 0.5000 0.0000 0.0000
4 Sc 0.0000 0.0000 0.0000
5 Al 0.5000 0.5000 0.5000

Properties
Formation enthalpy at 0 K (eV/atom): 0.867
Distance to the lowest polymorph of the same formula (eV per atom): 0.395
D(E_F) (states/eV per cell): 4.0
Symmetry: Pm-3m


[5]
This record from the Alexandria database describes crystalline SrScAl at its relaxed geometry. The functional is PBE-GGA.

Unit cell a=3.7246 b=3.7246 c=12.5033 alpha=90.00 beta=90.00 gamma=90.00
Element x y z (fractional)
1 Sr 0.2500 0.2500 0.1400
2 Sr 0.7500 0.7500 0.8600
3 Sc 0.2500 0.2500 0.4253
4 Sc 0.7500 0.7500 0.5747
5 Al 0.2500 0.2500 0.6785
6 Al 0.7500 0.7500 0.3215

Properties
Formation enthalpy at 0 K (eV/atom): -0.172
Distance to the lowest polymorph of the same formula (eV per atom): 0.000
D(E_F) (states/eV per cell): 4.5
Symmetry: P4/nmm


[6]
This record from the Alexandria database describes crystalline SrScAl at its relaxed geometry. The functional is PBE-GGA.

Unit cell a=3.6358 b=3.6358 c=12.9585 alpha=90.00 beta=90.00 gamma=90.00
Element x y z (fractional)
1 Sr 0.0000 0.0000 0.0000
2 Sr 0.5000 0.5000 0.5000
3 Sc 0.0000 0.0000 0.7200
4 Sc 0.5000 0.5000 0.2200
5 Al 0.0000 0.0000 0.3245
6 Al 0.5000 0.5000 0.8245

Properties
Formation enthalpy at 0 K (eV/atom): -0.055
Distance to the lowest polymorph of the same formula (eV per atom): 0.118
D(E_F) (states/eV per cell): 6.6
Symmetry: I4mm


[7]
This record from the Alexandria database describes crystalline SrScAl at its relaxed geometry. The functional is PBE-GGA.

Unit cell a=3.2945 b=6.1537 c=8.8172 alpha=69.65 beta=87.14 gamma=81.45
Element x y z (fractional)
1 Sr 0.0048 0.1881 0.1252
2 Sr 0.9952 0.8119 0.8748
3 Sc 0.1273 0.2556 0.5008
4 Sc 0.8727 0.7444 0.4992
5 Al 0.4983 0.6252 0.2476
6 Al 0.5017 0.3748 0.7524

Properties
Formation enthalpy at 0 K (eV/atom): -0.057
Distance to the lowest polymorph of the same formula (eV per atom): 0.115
D(E_F) (states/eV per cell): 6.2
Symmetry: P-1


[8]
This record from the Alexandria database describes crystalline SrScAl2 at its relaxed geometry. The functional is PBE-GGA.

Unit cell a=3.5847 b=4.4701 c=6.6131 alpha=90.00 beta=105.64 gamma=90.00
Element x y z (fractional)
1 Sr 0.0000 0.0000 0.0000
2 Sc 0.3016 0.5000 0.6063
3 Al 0.6189 0.5000 0.2391
4 Al 0.7373 0.0000 0.4777

Properties
Formation enthalpy at 0 K (eV/atom): -0.169
Distance to the lowest polymorph of the same formula (eV per atom): 0.086
D(E_F) (states/eV per cell): 2.0
Symmetry: Pm


[9]
This record from the Alexandria database describes crystalline SrScAl3 at its relaxed geometry. The functional is PBE-GGA.

Unit cell a=5.4397 b=5.4397 c=5.4397 alpha=90.00 beta=90.00 gamma=90.00
Element x y z (fractional)
1 Sr 0.0000 0.0000 0.0000
2 Sc 0.5000 0.5000 0.5000
3 Al 0.0000 0.0000 0.5000
4 Al 0.0000 0.5000 0.0000
5 Al 0.5000 0.0000 0.0000

Properties
Formation enthalpy at 0 K (eV/atom): 1.298
Distance to the lowest polymorph of the same formula (eV per atom): 0.975
D(E_F) (states/eV per cell): 5.1
Symmetry: Pm-3m


[10]
This record from the Alexandria database describes crystalline SrScAl at its relaxed geometry. The functional is PBE-GGA.

Unit cell a=22.4328 b=4.4530 c=3.7257 alpha=90.00 beta=90.41 gamma=90.00
Element x y z (fractional)
1 Sr 0.0000 0.0000 0.0000
2 Sr 0.1407 0.5000 0.5055
3 Sr 0.5000 0.5000 0.0000
4 Sr 0.6407 0.0000 0.5055
5 Sc 0.2651 0.0000 0.5016
6 Sc 0.3756 0.0000 0.0070
7 Sc 0.7651 0.5000 0.5016
8 Sc 0.8756 0.5000 0.0070
9 Al 0.2764 0.5000 0.0027
10 Al 0.3643 0.5000 0.5057
11 Al 0.7764 0.0000 0.0027
12 Al 0.8643 0.0000 0.5057

Properties
Formation enthalpy at 0 K (eV/atom): -0.119
Distance to the lowest polymorph of the same formula (eV per atom): 0.053
D(E_F) (states/eV per cell): 12.3
Symmetry: Cm


[11]
This record from the Alexandria database describes crystalline SrScAl at its relaxed geometry. The functional is PBE-GGA.

Unit cell a=6.2257 b=6.4407 c=8.4073 alpha=90.00 beta=90.00 gamma=90.00
Element x y z (fractional)
1 Sr 0.0000 0.2500 0.1323
2 Sr 0.0000 0.7500 0.8677
3 Sr 0.5000 0.2500 0.3677
4 Sr 0.5000 0.7500 0.6323
5 Sc 0.2500 0.2500 0.7500
6 Sc 0.2500 0.7500 0.2500
7 Sc 0.7500 0.2500 0.7500
8 Sc 0.7500 0.7500 0.2500
9 Al 0.0000 0.0000 0.5000
10 Al 0.0000 0.5000 0.5000
11 Al 0.5000 0.0000 0.0000
12 Al 0.5000 0.5000 0.0000

Properties
Formation enthalpy at 0 K (eV/atom): -0.111
Distance to the lowest polymorph of the same formula (eV per atom): 0.061
D(E_F) (states/eV per cell): 9.1
Symmetry: Imma


[12]
This record from the Alexandria database describes crystalline SrScAl at its relaxed geometry. The functional is PBE-GGA.

Unit cell a=4.1282 b=23.1164 c=4.0169 alpha=90.00 beta=90.00 gamma=90.00
Element x y z (fractional)
1 Sr 0.0000 0.1794 0.2500
2 Sr 0.0000 0.8206 0.7500
3 Sr 0.5000 0.3206 0.7500
4 Sr 0.5000 0.6794 0.2500
5 Sc 0.0000 0.4410 0.2500
6 Sc 0.0000 0.5590 0.7500
7 Sc 0.5000 0.0590 0.7500
8 Sc 0.5000 0.9410 0.2500
9 Al 0.0000 0.0370 0.2500
10 Al 0.0000 0.9630 0.7500
11 Al 0.5000 0.4630 0.7500
12 Al 0.5000 0.5370 0.2500

Properties
Formation enthalpy at 0 K (eV/atom): -0.148
Distance to the lowest polymorph of the same formula (eV per atom): 0.025
D(E_F) (states/eV per cell): 13.9
Symmetry: Cmcm


[13]
This record from the Alexandria database describes crystalline Sr2ScAlTe5 at its relaxed geometry. The functional is PBE-GGA.

Unit cell a=10.1576 b=10.1576 c=13.7376 alpha=90.00 beta=90.00 gamma=155.40
Element x y z (fractional)
1 Sr 0.1210 0.8790 0.5000
2 Sr 0.1253 0.8747 0.1367
3 Sr 0.8747 0.1253 0.6367
4 Sr 0.8790 0.1210 0.0000
5 Sc 0.2075 0.7925 0.8434
6 Sc 0.7925 0.2075 0.3434
7 Al 0.4342 0.5658 0.2503
8 Al 0.5658 0.4342 0.7503
9 Te 0.0513 0.9487 0.8635
10 Te 0.2918 0.7082 0.4862
11 Te 0.3072 0.6928 0.1893
12 Te 0.3516 0.6484 0.8208
13 Te 0.4989 0.5011 0.0871
14 Te 0.5011 0.4989 0.5871
15 Te 0.6484 0.3516 0.3208
16 Te 0.6928 0.3072 0.6893
17 Te 0.7082 0.2918 0.9862
18 Te 0.9487 0.0513 0.3635

Properties
ΔE_f (raw) (eV/atom): -1.2314
Symmetry: Cmc2_1


[14]
This record from the Alexandria database describes crystalline Sc2TaAl at its relaxed geometry. The functional is PBE-GGA.

Unit cell a=3.1779 b=4.9765 c=10.2060 alpha=90.00 beta=90.00 gamma=90.00
Element x y z (fractional)
1 Sc 0.0000 0.0000 0.0000
2 Sc 0.0000 0.5000 0.2210
3 Sc 0.5000 0.0000 0.7210
4 Sc 0.5000 0.5000 0.5000
5 Ta 0.0000 0.5000 0.7589
6 Ta 0.5000 0.0000 0.2589
7 Al 0.0000 0.0000 0.4820
8 Al 0.5000 0.5000 0.9820

Properties
Formation enthalpy at 0 K (eV/atom): -0.051
D(E_F) (states/eV per cell): 8.7
Symmetry: Imm2


[15]
This record from the Alexandria database describes crystalline Sc2TaAl at its relaxed geometry. The functional is PBE-GGA.

Unit cell a=2.9657 b=2.9657 c=9.0540 alpha=90.00 beta=90.00 gamma=90.00
Element x y z (fractional)
1 Sc 0.0000 0.0000 0.2470
2 Sc 0.0000 0.0000 0.7530
3 Ta 0.5000 0.5000 0.5000
4 Al 0.5000 0.5000 0.0000

Properties
Formation enthalpy at 0 K (eV/atom): -0.134
D(E_F) (states/eV per cell): 4.0
Symmetry: P4/mmm


[16]
This record from the Alexandria database describes crystalline Sc2TaAl at its relaxed geometry. The functional is PBE-GGA.

Unit cell a=6.0154 b=9.0017 c=2.9376 alpha=90.00 beta=90.00 gamma=90.00
Element x y z (fractional)
1 Sc 0.2500 0.2500 0.0000
2 Sc 0.2500 0.7500 0.0000
3 Sc 0.7500 0.2500 0.0000
4 Sc 0.7500 0.7500 0.0000
5 Ta 0.0000 0.0000 0.5000
6 Ta 0.5000 0.5000 0.5000
7 Al 0.0000 0.5000 0.5000
8 Al 0.5000 0.0000 0.5000

Properties
Formation enthalpy at 0 K (eV/atom): -0.022
D(E_F) (states/eV per cell): 10.6
Symmetry: Cmmm


[17]
This record from the Alexandria database describes crystalline Sc2TaAl at its relaxed geometry. The functional is PBE-GGA.

Unit cell a=3.0905 b=3.0905 c=29.6996 alpha=90.00 beta=90.00 gamma=120.00
Element x y z (fractional)
1 Sc 0.0000 0.0000 0.0000
2 Sc 0.0000 0.0000 0.2389
3 Sc 0.3333 0.6667 0.6667
4 Sc 0.3333 0.6667 0.9056
5 Sc 0.6667 0.3333 0.3333
6 Sc 0.6667 0.3333 0.5723
7 Ta 0.0000 0.0000 0.4912
8 Ta 0.3333 0.6667 0.1578
9 Ta 0.6667 0.3333 0.8245
10 Al 0.0000 0.0000 0.7486
11 Al 0.3333 0.6667 0.4152
12 Al 0.6667 0.3333 0.0819

Properties
Formation enthalpy at 0 K (eV/atom): 0.031
D(E_F) (states/eV per cell): 15.3
Symmetry: R3m


[18]
This record from the Alexandria database describes crystalline ScTaAl2 at its relaxed geometry. The functional is PBE-GGA.

Unit cell a=2.9102 b=2.9102 c=8.4636 alpha=90.00 beta=90.00 gamma=90.00
Element x y z (fractional)
1 Sc 0.0000 0.0000 0.0000
2 Ta 0.0000 0.0000 0.5000
3 Al 0.5000 0.5000 0.2615
4 Al 0.5000 0.5000 0.7385

Properties
Formation enthalpy at 0 K (eV/atom): -0.312
D(E_F) (states/eV per cell): 2.9
Symmetry: P4/mmm


[19]
This record from the Alexandria database describes crystalline Sc2TaAl at its relaxed geometry. The functional is PBE-GGA.

Unit cell a=2.9613 b=4.9603 c=5.4360 alpha=90.00 beta=90.00 gamma=90.00
Element x y z (fractional)
1 Sc 0.0000 0.0000 0.0000
2 Sc 0.0000 0.5000 0.3350
3 Ta 0.5000 0.5000 0.8195
4 Al 0.5000 0.0000 0.5236

Properties
Formation enthalpy at 0 K (eV/atom): -0.082
D(E_F) (states/eV per cell): 3.0
Symmetry: Pmm2


[20]
This record from the Alexandria database describes crystalline Sc2TaAl at its relaxed geometry. The functional is PBE-GGA.

Unit cell a=3.0640 b=4.1353 c=6.2846 alpha=90.00 beta=90.00 gamma=90.00
Element x y z (fractional)
1 Sc 0.0000 0.0000 0.2494
2 Sc 0.0000 0.0000 0.7506
3 Ta 0.5000 0.5000 0.0000
4 Al 0.5000 0.5000 0.5000

Properties
Formation enthalpy at 0 K (eV/atom): -0.077
D(E_F) (states/eV per cell): 3.9
Symmetry: Pmmm


| no. | uncorrected energy (eV/atom) |
| --- | --- |
| 1 | -4.02 |
| 2 | -3.91 |
| 3 | -4.06 |
| 4 | -2.16 |
| 5 | -4.09 |
| 6 | -3.97 |
| 7 | -3.98 |
| 8 | -4.04 |
| 9 | -2.55 |
| 10 | -4.04 |
| 11 | -4.03 |
| 12 | -4.07 |
| 13 | -4.47 |
| 14 | -7.12 |
| 15 | -7.20 |
| 16 | -7.09 |
| 17 | -7.03 |
| 18 | -6.73 |
| 19 | -7.15 |
| 20 | -7.14 |